# 1
Material: ErHfTa4
Method: DFT, GGA-PBE
State: relaxed

Computed properties:
- Energy of formation from the pure elements: 0.19 eV/atom
- Calculated density: 14.2 Mg/m³
- SG: F-43m

abc: 5.618 5.618 5.618
angles: 60.00 60.00 60.00
Fractional coordinates of all 6 atoms:
Er (0.000, 0.000, 0.000)
Hf (0.750, 0.750, 0.750)
Ta (0.375, 0.375, 0.375)
Ta (0.375, 0.375, 0.875)
Ta (0.375, 0.875, 0.375)
Ta (0.875, 0.375, 0.375)

***

# 2
Material: Rb3RhN
Method: DFT, GGA-PBE
State: relaxed

Computed properties:
- Polymorph energy (0 for the lowest one): 0 meV per atom
- Calculated density: 3.4 Mg/m³
- SG: Pm-3m

abc: 5.689 5.689 5.689
angles: 90.00 90.00 90.00
Fractional coordinates of all 5 atoms:
Rb (0.000, 0.000, 0.500)
Rb (0.000, 0.500, 0.000)
Rb (0.500, 0.000, 0.000)
Rh (0.500, 0.500, 0.500)
N (0.000, 0.000, 0.000)

***

# 3
Material: ScInHg2
Method: DFT, GGA-PBE
State: relaxed

Computed properties:
- Energy of formation from the pure elements: -0.17 eV/atom
- Calculated density: 10.1 Mg/m³
- SG: Imm2

abc: 5.714 5.714 5.714
angles: 135.12 134.87 65.55
Fractional coordinates of all 4 atoms:
Sc (0.000, 0.000, 0.000)
In (0.750, 0.250, 0.500)
Hg (0.250, 0.750, 0.500)
Hg (0.500, 0.500, 0.000)

***

Q: calculated density of number 1 (ErHfTa4)?
A: 14.2 Mg/m³

***

Q: The lowest calculated density belongs to which entry?
A: Rb3RhN

***

Q: The lowest calculated density belongs to which entry?
A: Rb3RhN